1.
The following is a DFT calculation (PBE) of an optimized crystal structure of ScV2CuB.

Calculated values
crystal system: tetragonal
DFT total energy: -23.754 eV for the cell shown
mass density: 4.25 g/cm³
space-group type: P4/mmm, No. 123
formation energy from the elements: 2.32 eV per atom

Structure (CIF):
```
data_ScV2CuB
_space_group_name_H-M_alt 'P 1'
_space_group_IT_number 1
_cell_length_a 4.381
_cell_length_b 4.500
_cell_length_c 4.381
_cell_angle_alpha 90.00
_cell_angle_beta 90.00
_cell_angle_gamma 90.00
loop_
_space_group_symop_operation_xyz
'x,y,z'
loop_
_atom_site_label
_atom_site_fract_x
_atom_site_fract_y
_atom_site_fract_z
Sc1 0.000 0.000 0.000
B1 0.500 0.500 0.500
Cu1 0.000 0.500 0.000
V1 0.000 0.000 0.500
V2 0.500 0.000 0.000
```


2.
The following is a DFT calculation (PBE) of an optimized crystal structure of Y2ScCuB.

Calculated values
crystal system: tetragonal
DFT total energy: -29.403 eV for the cell shown
mass density: 4.62 g/cm³
space-group type: P4/mmm, No. 123
formation energy from the elements: 0.13 eV per atom

Structure (CIF):
```
data_Y2ScCuB
_space_group_name_H-M_alt 'P 1'
_space_group_IT_number 1
_cell_length_a 5.206
_cell_length_b 3.945
_cell_length_c 5.206
_cell_angle_alpha 90.00
_cell_angle_beta 90.00
_cell_angle_gamma 90.00
loop_
_space_group_symop_operation_xyz
'x,y,z'
loop_
_atom_site_label
_atom_site_fract_x
_atom_site_fract_y
_atom_site_fract_z
Y1 0.000 0.000 0.500
Y2 0.500 0.000 0.000
Sc1 0.500 0.500 0.500
B1 0.000 0.000 0.000
Cu1 0.000 0.500 0.000
```


3.
The following is a DFT calculation (PBE) of an optimized crystal structure of Cu2BSe4.

Calculated values
crystal system: tetragonal
DFT total energy: -29.183 eV for the cell shown
mass density: 5.30 g/cm³
space-group type: I-42m, No. 121
formation energy from raw total energies: -0.054 eV per atom

Structure (CIF):
```
data_Cu2BSe4
_space_group_name_H-M_alt 'P 1'
_space_group_IT_number 1
_cell_length_a 5.244
_cell_length_b 5.244
_cell_length_c 6.366
_cell_angle_alpha 114.32
_cell_angle_beta 114.32
_cell_angle_gamma 90.00
loop_
_space_group_symop_operation_xyz
'x,y,z'
loop_
_atom_site_label
_atom_site_fract_x
_atom_site_fract_y
_atom_site_fract_z
Cu1 0.750 0.250 0.500
Cu2 0.250 0.750 0.500
B1 0.500 0.500 0.000
Se1 0.842 0.372 0.214
Se2 0.372 0.842 0.214
Se3 0.628 0.628 0.786
Se4 0.158 0.158 0.786
```


- Number 2 is which compound?
  Y2ScCuB


- Look up the DFT total energy of the third one.
  -29.183 eV for the cell shown


- Which value of DFT total energy does entry 3 give?
  -29.183 eV for the cell shown